The following is a PBE calculation of LaH2Ru2 after structural relaxation, from the Alexandria database.

Cell and atoms, written as POSCAR:
```
LaH2Ru2
1.0
6.874 0.000 0.000
0.000 6.874 0.000
0.000 0.000 2.895
La H Ru
2 4 4
Cartesian
0.000 0.000 0.000
3.437 3.437 0.000
0.649 2.789 1.447
2.789 6.226 1.447
4.086 0.649 1.447
6.226 4.086 1.447
0.852 4.289 0.000
2.585 0.852 0.000
4.289 6.022 0.000
6.022 2.585 0.000
```

Output
E above lowest polymorph = 0.5690 eV per atom



The following is a PBE calculation of Li4Zn10Fe after structural relaxation, from the Alexandria database.

Cell and atoms, written as POSCAR:
```
Li4Zn10Fe
1.0
5.832 -3.753 0.000
5.832 3.753 0.000
-0.929 0.000 5.020
Li Zn Fe
4 10 1
Cartesian
0.814 0.000 2.014
3.319 0.000 0.961
7.416 0.000 4.059
9.921 0.000 3.006
4.591 2.477 0.517
2.906 1.245 3.512
6.144 2.477 4.503
5.368 1.210 2.510
2.906 -1.245 3.512
7.829 1.245 1.509
5.368 -1.210 2.510
4.591 -2.477 0.517
7.829 -1.245 1.509
6.144 -2.477 4.503
5.832 0.000 0.000
```

Output
Energy of formation = -0.103 eV/atom



The following is a PBE calculation of LiNi3Sn2 after structural relaxation, from the Alexandria database.

Cell and atoms, written as POSCAR:
```
LiNi3Sn2
1.0
4.608 -2.671 0.000
4.608 2.671 0.000
-0.010 0.000 4.133
Li Ni Sn
1 3 2
Cartesian
0.000 0.000 0.000
2.299 1.335 2.067
2.299 -1.335 2.067
4.603 0.000 2.067
3.070 0.000 0.000
6.136 0.000 4.133
```

Output
Energy of formation = -0.119 eV/atom



The following is a PBE calculation of In2PbOF after structural relaxation, from the Alexandria database.

Cell and atoms, written as POSCAR:
```
In2PbOF
1.0
4.452 0.000 0.000
0.000 4.452 0.000
0.000 0.000 5.672
In Pb O F
2 1 1 1
Cartesian
0.000 2.226 0.000
2.226 0.000 0.000
0.000 0.000 2.836
2.226 2.226 0.000
2.226 2.226 2.836
```

Output
E_form (uncorrected) = -0.53 eV/atom



The following is a PBE calculation of KMgAg2 after structural relaxation, from the Alexandria database.

Cell and atoms, written as POSCAR:
```
KMgAg2
1.0
3.603 0.000 0.000
0.000 3.603 0.000
0.000 0.000 8.150
K Mg Ag
1 1 2
Cartesian
0.000 0.000 0.000
1.801 1.801 2.950
0.000 0.000 4.347
1.801 1.801 5.728
```

Output
Energy of formation = 0.085 eV/atom



The following is a PBE calculation of YZnB after structural relaxation, from the Alexandria database.

Cell and atoms, written as POSCAR:
```
YZnB
1.0
9.081 0.000 0.000
0.000 3.814 0.000
0.000 0.000 6.194
Y Zn B
4 4 4
Cartesian
1.481 0.953 0.195
3.060 2.860 3.291
6.022 0.953 2.902
7.600 2.860 5.999
0.445 0.953 3.721
4.095 2.860 0.625
4.986 0.953 5.569
8.636 2.860 2.472
0.800 2.860 4.656
3.740 0.953 1.559
5.341 2.860 4.635
8.281 0.953 1.538
```

Output
E above lowest polymorph = 0.2710 eV per atom
Energy of formation = -0.102 eV/atom



The following is a PBE calculation of Tb4SiPS2 after structural relaxation, from the Alexandria database.

Cell and atoms, written as POSCAR:
```
Tb4SiPS2
1.0
6.960 0.000 0.000
0.000 4.021 0.000
-2.320 0.000 6.572
Tb Si P S
4 1 1 2
Cartesian
1.116 0.000 1.624
-0.029 2.011 4.925
4.669 2.011 1.647
3.524 0.000 4.948
-1.160 0.000 3.286
0.000 2.011 0.000
3.480 0.000 0.000
2.320 2.011 3.286
```

Output
E_form (uncorrected) = -1.64 eV/atom



The following is a PBE calculation of K2TlTcBr8 after structural relaxation, from the Alexandria database.

Cell and atoms, written as POSCAR:
```
K2TlTcBr8
1.0
6.456 0.000 0.000
-0.583 8.024 0.000
-0.042 -0.016 8.767
K Tl Tc Br
2 1 1 8
Cartesian
0.019 0.003 2.201
5.812 8.005 6.566
-0.312 4.004 4.383
-0.292 4.012 0.000
1.197 3.066 6.968
1.235 3.097 1.811
1.025 6.139 8.760
1.228 6.447 4.405
4.603 1.561 4.362
4.806 1.869 0.007
4.596 4.910 6.956
4.634 4.941 1.799
```

Output
E_form (uncorrected) = -0.87 eV/atom



Values for raw total energy, eV/atom, ordered as above
-5.44, -2.03, -4.66, -3.73, -2.01, -4.91, -6.34, -3.23
Values for V, Å³/f.u., ordered as above
68, 220, 102, 112, 106, 54, 184, 454